## Rb2Tm2SnS6 (PBE)

Data for an optimized crystal structure of Rb2Tm2SnS6.

Cell lengths 6.7673, 6.7673, 8.2483 Å; angles 98.06, 98.06, 119.82 degrees
Element x y z (fractional)
Rb  0.1692  0.8308  0.0000
Rb  0.8308  0.1692  0.0000
Tm  0.3325  0.6675  0.5000
Tm  0.6675  0.3325  0.5000
Sn  0.0000  0.0000  0.5000
S  0.0638  0.3859  0.6854
S  0.2558  0.2558  0.3170
S  0.3859  0.0638  0.6854
S  0.6141  0.9362  0.3146
S  0.7442  0.7442  0.6830
S  0.9362  0.6141  0.3146

- Space group: C2/m
- VASP energy: -55.62 eV per cell
- Formation energy from raw total energies: -1541.2 kJ/mol of formula units